# 1
Entry from Alexandria via LeMat-Bulk: a geometry-optimized CaCeCrN3 structure (PBE).

abc: 6.7759 6.7759 6.8381
angles: 105.03 105.03 32.09
Last column: nearest neighbours and their distance in Å.
Fractional coordinates of all 12 atoms:
1 Ca 0.1481 0.1481 0.0760  7 N 2.50-2.62
2 Ca 0.8519 0.8519 0.9240  7 N 2.50-2.62
3 Ce 0.1482 0.1482 0.5747  7 N 2.37-2.56
4 Ce 0.8518 0.8518 0.4253  7 N 2.37-2.56
5 Cr 0.4976 0.4976 0.2425  4 N 1.87-2.08
6 Cr 0.5024 0.5024 0.7575  4 N 1.87-2.08
7 N 0.0029 0.0029 0.2520  2 Cr 1.87
8 N 0.3370 0.3370 0.6491  1 Cr 2.08
9 N 0.3474 0.3474 0.1885  1 Cr 1.89
10 N 0.6526 0.6526 0.8115  1 Cr 1.89
11 N 0.6630 0.6630 0.3509  1 Cr 2.08
12 N 0.9971 0.9971 0.7480  2 Cr 1.87

Spin magnetization: 1.14 μB/f.u.
Raw formation energy: -1.013 eV/atom
Total energy: -97.23 eV per cell

# 2
Entry from Alexandria via LeMat-Bulk: a geometry-optimized LiIN structure (PBE).

abc: 4.7140 4.7140 8.9112
angles: 114.10 114.10 51.12
Last column: nearest neighbours and their distance in Å.
Fractional coordinates of all 6 atoms:
1 Li 0.0826 0.0826 0.4126  2 N 2.01-2.08
2 Li 0.9174 0.9174 0.5874  2 N 2.01-2.08
3 I 0.2723 0.2723 0.2306  2 N 2.20
4 I 0.7277 0.7277 0.7694  2 N 2.20
5 N 0.1882 0.1882 0.6654  2 Li 2.01-2.08, 2 I 2.20
6 N 0.8118 0.8118 0.3346  2 Li 2.01-2.08, 2 I 2.20

Spin magnetization: 0.00 μB/f.u.
Raw formation energy: 0.429 eV/atom
Total energy: -21.01 eV per cell

# 3
Entry from Alexandria via LeMat-Bulk: a geometry-optimized BaSr2In structure (PBE).

abc: 4.2110 5.6089 7.8325
angles: 90.00 101.56 90.00
Last column: nearest neighbours and their distance in Å.
Fractional coordinates of all 4 atoms:
1 Ba 0.0000 0.0000 0.0000  2 In 3.92, 8 Sr 4.13-4.14, 2 Ba 4.21
2 Sr 0.3920 0.5000 0.7144  2 In 3.51, 1 Sr 3.65
3 Sr 0.6080 0.5000 0.2856  2 In 3.51, 1 Sr 3.65
4 In 0.0000 0.0000 0.5000  4 Sr 3.51, 2 Ba 3.92

Spin magnetization: 0.00 μB/f.u.
Formation energy: -104 meV per atom
Total energy: -8.44 eV per cell

# 4
Entry from Alexandria via LeMat-Bulk: a geometry-optimized Pa2Zn3Cd structure (PBE).

abc: 5.7738 5.7738 8.3674
angles: 90.00 90.00 120.00
Last column: nearest neighbours and their distance in Å.
Fractional coordinates of all 12 atoms:
1 Pa 0.3333 0.6667 0.0907  1 Pa 2.67
2 Pa 0.3333 0.6667 0.4093  1 Pa 2.67
3 Pa 0.6667 0.3333 0.5907  1 Pa 2.67
4 Pa 0.6667 0.3333 0.9093  1 Pa 2.67
5 Zn 0.1798 0.3596 0.7500  2 Zn 2.66, 2 Cd 2.76
6 Zn 0.1798 0.8202 0.7500  2 Zn 2.66, 2 Cd 2.76
7 Zn 0.3596 0.1798 0.2500  2 Zn 2.66, 2 Cd 2.76
8 Zn 0.6404 0.8202 0.7500  2 Zn 2.66, 2 Cd 2.76
9 Zn 0.8202 0.1798 0.2500  2 Zn 2.66, 2 Cd 2.76
10 Zn 0.8202 0.6404 0.2500  2 Zn 2.66, 2 Cd 2.76
11 Cd 0.0000 0.0000 0.0000  6 Zn 2.76
12 Cd 0.0000 0.0000 0.5000  6 Zn 2.76

Spin magnetization: 0.01 μB/f.u.
Formation energy: -47 meV per atom
Total energy: -48.02 eV per cell

# 5
Entry from Alexandria via LeMat-Bulk: a geometry-optimized TaFeSe3 structure (PBE).

abc: 3.5063 12.1062 12.1062
angles: 151.00 90.00 90.00
Last column: nearest neighbours and their distance in Å.
Fractional coordinates of all 10 atoms:
1 Ta 0.2500 0.1712 0.8288  5 Se 2.55-2.60, 2 Fe 2.79
2 Ta 0.7500 0.8288 0.1712  5 Se 2.55-2.60, 2 Fe 2.79
3 Fe 0.2500 0.1943 0.4670  4 Se 2.37-2.39
4 Fe 0.7500 0.4670 0.1943  4 Se 2.37-2.39
5 Se 0.2500 0.2837 0.1310  2 Fe 2.37, 1 Ta 2.55
6 Se 0.2500 0.5912 0.8539  1 Fe 2.38, 2 Ta 2.60
7 Se 0.2500 0.9716 0.4376  1 Fe 2.39, 2 Ta 2.59
8 Se 0.7500 0.1310 0.2837  2 Fe 2.37, 1 Ta 2.55
9 Se 0.7500 0.4376 0.9716  1 Fe 2.39, 2 Ta 2.59
10 Se 0.7500 0.8539 0.5912  1 Fe 2.38, 2 Ta 2.60

Spin magnetization: 2.53 μB/f.u.
Raw formation energy: -0.529 eV/atom
Total energy: -66.83 eV per cell

# 6
Entry from Alexandria via LeMat-Bulk: a geometry-optimized Pa4AsC2 structure (PBE).

abc: 6.5487 6.5487 11.8778
angles: 90.00 90.00 147.70
Last column: nearest neighbours and their distance in Å.
Fractional coordinates of all 14 atoms:
1 Pa 0.0000 0.0000 0.0000  4 C 2.62
2 Pa 0.0000 0.0000 0.5000  4 C 2.62
3 Pa 0.2702 0.7298 0.6214  3 C 2.38-2.57
4 Pa 0.2702 0.7298 0.8786  3 C 2.38-2.57
5 Pa 0.4194 0.5806 0.2500  2 C 2.44
6 Pa 0.5806 0.4194 0.7500  2 C 2.44
7 Pa 0.7298 0.2702 0.1214  3 C 2.38-2.57
8 Pa 0.7298 0.2702 0.3786  3 C 2.38-2.57
9 As 0.0912 0.9088 0.2500  6 Pa 2.83-2.95
10 As 0.9088 0.0912 0.7500  6 Pa 2.83-2.95
11 C 0.3599 0.6401 0.0549  6 Pa 2.38-2.62
12 C 0.3599 0.6401 0.4451  6 Pa 2.38-2.62
13 C 0.6401 0.3599 0.5549  6 Pa 2.38-2.62
14 C 0.6401 0.3599 0.9451  6 Pa 2.38-2.62

Spin magnetization: 0.00 μB/f.u.
Formation energy: -497 meV per atom
Total energy: -129.12 eV per cell

# 7
Entry from Alexandria via LeMat-Bulk: a geometry-optimized Cr2SbRh structure (PBE).

abc: 2.9780 2.9780 6.5862
angles: 90.00 90.00 90.00
Last column: nearest neighbours and their distance in Å.
Fractional coordinates of all 4 atoms:
1 Cr 0.0000 0.0000 0.2451  4 Rh 2.65, 4 Sb 2.69
2 Cr 0.0000 0.0000 0.7549  4 Rh 2.65, 4 Sb 2.69
3 Sb 0.5000 0.5000 0.5000  8 Cr 2.69, 4 Sb 2.98
4 Rh 0.5000 0.5000 0.0000  8 Cr 2.65

Spin magnetization: 0.00 μB/f.u.
Raw formation energy: 0.371 eV/atom
Total energy: -29.24 eV per cell

# 8
Entry from Alexandria via LeMat-Bulk: a geometry-optimized Tb3CeSn3 structure (PBE).

abc: 9.2361 9.2361 5.4114
angles: 90.00 90.00 120.00
Last column: nearest neighbours and their distance in Å.
Fractional coordinates of all 14 atoms:
1 Tb 0.0048 0.7633 0.2500  4 Sn 3.05-3.28
2 Tb 0.2367 0.2416 0.2500  4 Sn 3.05-3.28
3 Tb 0.2416 0.0048 0.7500  4 Sn 3.05-3.28
4 Tb 0.7584 0.9952 0.2500  4 Sn 3.05-3.28
5 Tb 0.7633 0.7584 0.7500  4 Sn 3.05-3.28
6 Tb 0.9952 0.2367 0.7500  4 Sn 3.05-3.28
7 Ce 0.3333 0.6667 0.2500  9 Sn 3.36-3.50, 3 Tb 3.56
8 Ce 0.6667 0.3333 0.7500  9 Sn 3.36-3.50, 3 Tb 3.56
9 Sn 0.0742 0.6247 0.7500  4 Tb 3.05-3.28, 1 Ce 3.36, 2 Sn 3.37
10 Sn 0.3753 0.4495 0.7500  4 Tb 3.05-3.28, 1 Ce 3.36, 2 Sn 3.37
11 Sn 0.4495 0.0742 0.2500  4 Tb 3.05-3.28, 1 Ce 3.36, 2 Sn 3.37
12 Sn 0.5505 0.9258 0.7500  4 Tb 3.05-3.28, 1 Ce 3.36, 2 Sn 3.37
13 Sn 0.6247 0.5505 0.2500  4 Tb 3.05-3.28, 1 Ce 3.36, 2 Sn 3.37
14 Sn 0.9258 0.3753 0.2500  4 Tb 3.05-3.28, 1 Ce 3.36, 2 Sn 3.37

Spin magnetization: 0.64 μB/f.u.
Formation energy: -515 meV per atom
Total energy: -70.88 eV per cell

Q: Which formula does entry 5 have?
A: TaFeSe3

Q: Which formula does entry 8 have?
A: Tb3CeSn3